(1)
Entry from the Alexandria database: crystalline LaZnIn at its relaxed geometry (PBEsol).

a = 4.721 Å, b = 4.721 Å, c = 3.838 Å
α = 90.00°, β = 90.00°, γ = 120.00°
Atoms (fractional coordinates):
La  0.000  0.000  0.000
Zn  0.667  0.333  0.500
In  0.333  0.667  0.500

M_tot ... 0.00 μB per cell
Crystal system ... hexagonal
Uncorrected energy ... -0.138 Ha/atom
SG ... No. 187
Theoretical density ... 7.2 g cm⁻³

---

(2)
Entry from the Alexandria database: crystalline BeReBr at its relaxed geometry (PBEsol).

a = 6.560 Å, b = 6.255 Å, c = 2.888 Å
α = 82.96°, β = 71.13°, γ = 25.91°
Atoms (fractional coordinates):
Be  0.000  0.000  0.000
Re  0.647  0.647  0.353
Br  0.354  0.354  0.646

Formation energy (no corrections) ... 890 meV per atom
M_tot ... 0.00 μB per cell
Crystal system ... orthorhombic
Uncorrected energy ... -0.203 Ha/atom
SG ... No. 42
Theoretical density ... 10.2 g cm⁻³

---

(3)
Entry from the Alexandria database: crystalline MnOF at its relaxed geometry (PBEsol).

a = 4.490 Å, b = 5.048 Å, c = 11.179 Å
α = 89.56°, β = 88.17°, γ = 89.98°
Atoms (fractional coordinates):
Mn  0.000  0.000  0.000
Mn  0.006  0.504  0.849
Mn  0.480  0.938  0.247
Mn  0.494  0.440  0.098
Mn  0.508  0.495  0.598
Mn  0.531  0.951  0.751
Mn  0.946  0.998  0.494
Mn  0.980  0.498  0.346
O  0.276  0.617  0.231
O  0.282  0.122  0.115
O  0.296  0.650  0.737
O  0.729  0.816  0.614
O  0.761  0.332  0.481
O  0.761  0.813  0.361
O  0.791  0.318  0.982
O  0.797  0.827  0.868
F  0.223  0.693  0.486
F  0.224  0.169  0.370
F  0.257  0.680  0.983
F  0.266  0.172  0.857
F  0.272  0.165  0.615
F  0.739  0.256  0.235
F  0.751  0.757  0.112
F  0.755  0.285  0.732

Formation energy (no corrections) ... -1902 meV per atom
M_tot ... 32.00 μB per cell
Crystal system ... triclinic
Uncorrected energy ... -0.277 Ha/atom
SG ... No. 1
Theoretical density ... 4.7 g cm⁻³

---

(4)
Entry from the Alexandria database: crystalline BaTlSb2 at its relaxed geometry (PBEsol).

a = 5.757 Å, b = 5.757 Å, c = 5.854 Å
α = 106.77°, β = 106.77°, γ = 44.01°
Atoms (fractional coordinates):
Ba  0.000  0.000  0.000
Tl  0.236  0.236  0.709
Sb  0.497  0.497  0.485
Sb  0.769  0.769  0.347

Formation energy (no corrections) ... -479 meV per atom
Relative energy among the computed polymorphs ... 0.026 eV/atom
M_tot ... 0.00 μB per cell
Crystal system ... monoclinic
Uncorrected energy ... -0.145 Ha/atom
SG ... No. 8
Theoretical density ... 7.6 g cm⁻³

---

(5)
Entry from the Alexandria database: crystalline Ca2TlOsCl at its relaxed geometry (PBEsol).

a = 5.815 Å, b = 5.815 Å, c = 5.289 Å
α = 90.00°, β = 90.00°, γ = 90.00°
Atoms (fractional coordinates):
Ca  0.000  0.500  0.000
Ca  0.500  0.000  0.000
Tl  0.000  0.000  0.000
Os  0.500  0.500  0.500
Cl  0.000  0.000  0.500

Formation energy (no corrections) ... 1182 meV per atom
M_tot ... 2.66 μB per cell
Crystal system ... tetragonal
Uncorrected energy ... -0.112 Ha/atom
SG ... No. 123
Theoretical density ... 4.7 g cm⁻³

---

(6)
Entry from the Alexandria database: crystalline KMnCu2 at its relaxed geometry (PBEsol).

a = 5.188 Å, b = 5.188 Å, c = 5.188 Å
α = 134.88°, β = 134.88°, γ = 65.72°
Atoms (fractional coordinates):
K  0.000  0.000  0.000
Mn  0.750  0.250  0.500
Cu  0.250  0.750  0.500
Cu  0.500  0.500  0.000

M_tot ... 4.15 μB per cell
Crystal system ... tetragonal
Uncorrected energy ... -0.143 Ha/atom
SG ... No. 119
Theoretical density ... 5.3 g cm⁻³

---

(7)
Entry from the Alexandria database: crystalline FeTc4 at its relaxed geometry (PBEsol).

a = 4.597 Å, b = 4.597 Å, c = 4.597 Å
α = 99.66°, β = 99.66°, γ = 131.64°
Atoms (fractional coordinates):
Fe  0.000  0.000  0.000
Tc  0.206  0.392  0.599
Tc  0.392  0.794  0.186
Tc  0.608  0.206  0.814
Tc  0.794  0.608  0.401

M_tot ... 0.44 μB per cell
Crystal system ... tetragonal
Uncorrected energy ... -0.394 Ha/atom
SG ... No. 87
Theoretical density ... 11.2 g cm⁻³

---

(8)
Entry from the Alexandria database: crystalline MoPt2W at its relaxed geometry (PBEsol).

a = 2.708 Å, b = 4.088 Å, c = 5.407 Å
α = 90.00°, β = 90.00°, γ = 90.00°
Atoms (fractional coordinates):
Mo  0.000  0.000  0.000
Pt  0.500  0.500  0.249
Pt  0.500  0.500  0.751
W  0.000  0.000  0.500

Relative energy among the computed polymorphs ... 0.067 eV/atom
M_tot ... 0.00 μB per cell
Crystal system ... orthorhombic
Uncorrected energy ... -0.372 Ha/atom
SG ... No. 47
Theoretical density ... 18.6 g cm⁻³

---

(9)
Entry from the Alexandria database: crystalline OsRh2Au at its relaxed geometry (PBEsol).

a = 9.107 Å, b = 9.107 Å, c = 9.107 Å
α = 17.21°, β = 17.21°, γ = 17.21°
Atoms (fractional coordinates):
Os  0.000  0.000  0.000
Rh  0.256  0.256  0.256
Rh  0.508  0.508  0.508
Au  0.755  0.755  0.755

Relative energy among the computed polymorphs ... 0.147 eV/atom
M_tot ... 0.00 μB per cell
Crystal system ... trigonal
Uncorrected energy ... -0.290 Ha/atom
SG ... No. 160
Theoretical density ... 17.1 g cm⁻³

---

(10)
Entry from the Alexandria database: crystalline InCoRh3 at its relaxed geometry (PBEsol).

a = 4.727 Å, b = 4.727 Å, c = 4.727 Å
α = 90.00°, β = 90.00°, γ = 90.00°
Atoms (fractional coordinates):
In  0.000  0.000  0.000
Co  0.500  0.500  0.500
Rh  0.000  0.000  0.500
Rh  0.000  0.500  0.000
Rh  0.500  0.000  0.000

M_tot ... 4.48 μB per cell
Crystal system ... cubic
Uncorrected energy ... -0.186 Ha/atom
SG ... No. 221
Theoretical density ... 7.6 g cm⁻³

---

(11)
Entry from the Alexandria database: crystalline Re3GeSe at its relaxed geometry (PBEsol).

a = 4.536 Å, b = 4.536 Å, c = 4.536 Å
α = 90.00°, β = 90.00°, γ = 90.00°
Atoms (fractional coordinates):
Re  0.000  0.000  0.500
Re  0.000  0.500  0.000
Re  0.500  0.000  0.000
Ge  0.500  0.500  0.500
Se  0.000  0.000  0.000

Formation energy (no corrections) ... 1915 meV per atom
M_tot ... 2.05 μB per cell
Crystal system ... cubic
Uncorrected energy ... -0.288 Ha/atom
SG ... No. 221
Theoretical density ... 12.6 g cm⁻³

---

(12)
Entry from the Alexandria database: crystalline Te3As2 at its relaxed geometry (PBEsol).

a = 7.346 Å, b = 7.346 Å, c = 9.737 Å
α = 95.98°, β = 95.98°, γ = 31.82°
Atoms (fractional coordinates):
Te  0.029  0.029  0.285
Te  0.218  0.218  0.659
Te  0.377  0.377  0.039
Te  0.623  0.623  0.961
Te  0.782  0.782  0.341
Te  0.971  0.971  0.715
As  0.200  0.200  0.142
As  0.385  0.385  0.552
As  0.615  0.615  0.448
As  0.800  0.800  0.858

Formation energy (no corrections) ... -16 meV per atom
Relative energy among the computed polymorphs ... 0.003 eV/atom
M_tot ... 0.02 μB per cell
Crystal system ... monoclinic
Uncorrected energy ... -0.153 Ha/atom
SG ... No. 12
Theoretical density ... 6.4 g cm⁻³